(1)
A geometry-optimized DyNpH structure. Source: the Alexandria database, functional GGA-PBE.

The calculation puts the uncorrected energy at -0.25764 hartree per atom. The calculation puts the density of states at the Fermi level at 4.31 states/eV/f.u. The calculation puts the calculated density at 11.66 Mg/m³. The crystal system is monoclinic.

The space group is C2/m (No. 12) and the conventional cell measures 19.409, 3.417 and 3.439 Å, with angles of 90.00, 90.06 and 90.00 degrees. Symmetry generates all atoms from Dy at (0.085, 0.000, 0.246), Np at (0.217, 0.500, 0.652) and H at (0.147, 0.000, 0.751).

=====

(2)
A geometry-optimized DyNpH2O6 structure. Source: the Alexandria database, functional GGA-PBE.

The calculation puts the uncorrected energy at -0.28419 hartree per atom. The calculation puts the calculated density at 6.31 Mg/m³. The crystal system is triclinic.

The space group is P-1 (No. 2) and the conventional cell measures 5.237, 5.448 and 5.939 Å, with angles of 62.73, 66.57 and 63.59 degrees. Symmetry generates all atoms from Dy at (0.000, 0.000, 0.000), Np at (0.500, 0.500, 0.500), H at (0.087, 0.266, 0.264), O at (0.087, 0.748, 0.747), O at (0.275, 0.590, 0.267) and O at (0.391, 0.153, 0.721).

=====

(3)
A geometry-optimized Dy2HO structure. Source: the Alexandria database, functional GGA-PBE.

The calculation puts the uncorrected energy at -0.21258 hartree per atom. The calculation puts the density of states at the Fermi level at 2.54 states/eV/f.u. The calculation puts the calculated density at 9.43 Mg/m³. As for the polymorph energy (0 for the lowest one): 144 meV/atom. The crystal system is trigonal.

The space group is R3m (No. 160, hexagonal axes) and the conventional cell measures 3.4286, 3.4286 and 17.7447 Å, with angles of 90.00, 90.00 and 120.00 degrees. Symmetry generates all atoms from Dy at (0.0000, 0.0000, 0.0000), Dy at (0.0000, 0.0000, 0.1743), H at (0.0000, 0.0000, 0.5806) and O at (0.0000, 0.0000, 0.7528).

=====

(4)
A geometry-optimized Dy2HO structure. Source: the Alexandria database, functional GGA-PBE.

The calculation puts the uncorrected energy at -0.21786 hartree per atom. The calculation puts the density of states at the Fermi level at 2.41 states/eV/f.u. The calculation puts the calculated density at 9.67 Mg/m³. As for the polymorph energy (0 for the lowest one): 0 meV/atom. The crystal system is trigonal.

The space group is R-3m (No. 166, hexagonal axes) and the conventional cell measures 3.4680, 3.4680 and 16.9116 Å, with angles of 90.00, 90.00 and 120.00 degrees. Symmetry generates all atoms from Dy at (0.0000, 0.0000, 0.2464), H at (0.0000, 0.0000, 0.0000) and O at (0.0000, 0.0000, 0.5000).